This record from the Alexandria database describes a relaxed structure of Rb2CeNiO4. The functional is PBE with a Hubbard U.

a b c (Å): 6.205 6.205 8.151
angles (deg): 90.00 90.00 90.00
Fractional coordinates of all 16 atoms:
Rb1 0.000 0.000 0.000
Rb2 0.000 0.500 0.250
Rb3 0.500 0.000 0.750
Rb4 0.500 0.500 0.500
Ce1 0.000 0.000 0.500
Ce2 0.500 0.500 0.000
Ni1 0.000 0.500 0.750
Ni2 0.500 0.000 0.250
O1 0.140 0.257 0.637
O2 0.243 0.640 0.863
O3 0.257 0.860 0.363
O4 0.360 0.243 0.137
O5 0.640 0.757 0.137
O6 0.743 0.140 0.363
O7 0.757 0.360 0.863
O8 0.860 0.743 0.637

- crystal system = tetragonal
- theoretical density (kg/m³) = 4590
- energy (eV/f.u.) = -44.6